The following is a DFT calculation (PBE) of an optimized crystal structure of LiNi2HAu.

a = 3.619 Å, b = 3.619 Å, c = 4.016 Å
α = 90.00°, β = 90.00°, γ = 90.00°
Element x y z (fractional)
Li  0.000  0.000  0.000
Ni  0.000  0.500  0.500
Ni  0.500  0.000  0.500
H  0.000  0.000  0.500
Au  0.500  0.500  0.000

Values from the calculation:
The total moment is 0.0 μB/cell. The value obtained for the total energy is -21.05 eV per formula unit. As for the symmetry: P4/mmm.